A) A relaxed TaBeSi3 crystal, computed with GGA-PBE.

Cell: 4.891 4.891 4.891 Å, 90.00 90.00 90.00°
Space group Pm-3m (No. 221)
One atom of each set of equivalent atoms:
Ta1 0.000 0.000 0.000 [1 per cell]
Be1 0.500 0.500 0.500 [1 per cell]
Si1 0.000 0.000 0.500 [3 per cell]

Output
The volume is 117.0 Å³/cell.


B) A relaxed TaBeSi3 crystal, computed with GGA-PBE.

Cell: 4.221 4.221 4.221 Å, 90.00 90.00 90.00°
Space group Pm-3m (No. 221)
One atom of each set of equivalent atoms:
Ta1 0.000 0.000 0.000 [1 per cell]
Be1 0.500 0.500 0.500 [1 per cell]
Si1 0.000 0.500 0.500 [3 per cell]

Output
The volume is 75.2 Å³/cell.


Least stable of them? A).


A) A relaxed BeSiTc2 crystal, computed with GGA-PBE.

Cell: 2.874 3.317 11.481 Å, 90.00 90.00 90.00°
Space group Immm (No. 71)
One atom of each set of equivalent atoms:
Be1 0.000 0.000 0.000 [2 per cell]
Si1 0.000 0.000 0.500 [2 per cell]
Tc1 0.000 0.000 0.190 [4 per cell]

Output
The volume is 109.5 Å³/cell.


B) A relaxed BeSiTc2 crystal, computed with GGA-PBE.

Cell: 2.713 3.832 5.007 Å, 90.00 97.04 90.00°
Space group P2/m (No. 10)
One atom of each set of equivalent atoms:
Be1 0.000 0.000 0.000 [1 per cell]
Si1 0.500 0.000 0.500 [1 per cell]
Tc1 0.270 0.500 0.758 [2 per cell]

Output
The volume is 51.7 Å³/cell.


C) A relaxed BeSiTc2 crystal, computed with GGA-PBE.

Cell: 3.017 3.973 8.325 Å, 90.00 90.00 90.00°
Space group Imm2 (No. 44)
One atom of each set of equivalent atoms:
Be1 0.000 0.000 0.000 [2 per cell]
Si1 0.000 0.500 0.738 [2 per cell]
Tc1 0.000 0.000 0.490 [2 per cell]
Tc2 0.000 0.500 0.253 [2 per cell]

Output
The volume is 99.8 Å³/cell.


Least stable of them? A).